Computed, not measured: a relaxed Li2CoOs crystal at the PBE level of DFT.

Unit cell a=4.258 b=3.466 c=3.466 alpha=90.00 beta=90.00 gamma=90.00
Site moments in Bohr magnetons follow the coordinates.
Fractional positions:
Co  0.500  0.000  0.500  1.68
Li  0.000  0.000  0.000  -0.03
Li  0.000  0.500  0.500  -0.03
Os  0.500  0.500  0.000  0.90

Calculated values
**Total moment**: 2.56 μB/cell
**Formation energy from the elements**: 0.341 eV per atom
**Total energy**: -5.200 eV per atom

***

Computed, not measured: a relaxed Nb2In2Bi crystal at the PBE level of DFT.

Unit cell a=4.044 b=4.044 c=7.831 alpha=75.04 beta=75.04 gamma=90.00
Fractional positions:
Nb  0.750  0.250  0.500
Nb  0.250  0.750  0.500
Bi  0.000  0.000  0.000
In  0.398  0.398  0.204
In  0.602  0.602  0.796

Calculated values
**Total moment**: 0.00 μB/cell
**Formation energy from the elements**: 0.460 eV per atom
**Total energy**: -5.439 eV per atom

***

Computed, not measured: a relaxed YBe2Nb2 crystal at the PBE level of DFT.

Unit cell a=7.238 b=7.238 c=3.120 alpha=90.00 beta=90.00 gamma=90.00
Fractional positions:
Y  0.000  0.000  0.000
Y  0.500  0.500  0.000
Be  0.390  0.890  0.000
Be  0.890  0.610  0.000
Be  0.610  0.110  0.000
Be  0.110  0.390  0.000
Nb  0.174  0.674  0.500
Nb  0.674  0.826  0.500
Nb  0.826  0.326  0.500
Nb  0.326  0.174  0.500

Calculated values
**Total moment**: 0.00 μB/cell
**Formation energy from the elements**: 0.176 eV per atom
**Total energy**: -6.635 eV per atom

***

- Which value of formation energy from the elements does entry 2 give?
  0.460 eV per atom

***

- Which of these has the highest formation energy from the elements?
  Nb2In2Bi

***

- total energy of number 3 (YBe2Nb2)?
  -6.635 eV per atom

***

- What is the formula in the first record?
  Li2CoOs